Density functional theory data (PBE-GGA) for a relaxed structure of CsZnS2O8.

Summary:
Uncorrected formation energy   -1.420 eV per atom
Spin magnetization   1.119 Bohr magnetons per cell

a = 5.0808 Å, b = 5.0808 Å, c = 8.8695 Å
α = 90.00°, β = 90.00°, γ = 120.00°
Closest atoms and distances in Å follow each position.
Space group P-3 (No. 147)
Asymmetric unit:
Cs: 0.0000 0.0000 0.0000  6 O 3.18
Zn: 0.0000 0.0000 0.5000  6 O 2.10
S: 0.3333 0.6667 0.6942  4 O 1.48-1.49
O: 0.0875 0.3641 0.6423  1 S 1.49
O: 0.3333 0.6667 0.8616  1 S 1.48

=====

Density functional theory data (PBE-GGA) for a relaxed structure of Cs5SbO.

Summary:
Uncorrected formation energy   -0.611 eV per atom
Spin magnetization   0.000 Bohr magnetons per cell

a = 14.5338 Å, b = 8.2272 Å, c = 12.4965 Å
α = 90.00°, β = 115.42°, γ = 90.00°
Closest atoms and distances in Å follow each position.
Space group C2/c (No. 15)
Asymmetric unit:
Cs: 0.0000 0.0016 0.2500  2 O 3.12
Cs: 0.1398 0.2550 0.0691  1 O 2.79
Cs: 0.1423 0.2496 0.5720  1 O 2.78
Sb: 0.0000 0.5001 0.2500  10 Cs 4.10-4.19
O: 0.0000 0.0000 0.0000  4 Cs 2.78-2.79

=====

Density functional theory data (PBE-GGA) for a relaxed structure of CsSbO2.

Summary:
Uncorrected formation energy   -1.519 eV per atom
Spin magnetization   0.000 Bohr magnetons per cell

a = 8.3032 Å, b = 10.1622 Å, c = 5.6799 Å
α = 90.00°, β = 122.23°, γ = 90.00°
Closest atoms and distances in Å follow each position.
Space group C2/c (No. 15)
Asymmetric unit:
Cs: 0.0000 0.1477 0.2500  4 O 3.03-3.25
Sb: 0.0000 0.4224 0.7500  4 O 2.00-2.20
O: 0.1705 0.4566 0.2031  2 Sb 2.00-2.20

=====

Density functional theory data (PBE-GGA) for a relaxed structure of Cs3Sb2O4.

Summary:
Uncorrected formation energy   -1.109 eV per atom
Spin magnetization   0.000 Bohr magnetons per cell

a = 13.7213 Å, b = 3.6798 Å, c = 9.3926 Å
α = 90.00°, β = 111.74°, γ = 90.00°
Closest atoms and distances in Å follow each position.
Space group C2/m (No. 12)
Asymmetric unit:
Cs: 0.0000 0.0000 0.0000  6 O 3.02-3.20
Cs: 0.0927 0.5000 0.4024  2 O 3.05
Sb: 0.1962 0.5000 0.8245  1 O 2.00
O: 0.0958 0.0000 0.7370  2 Sb 2.26
O: 0.1804 0.5000 0.0274  1 Sb 2.00

=====

Density functional theory data (PBE-GGA) for a relaxed structure of CsSbO2.

Summary:
Uncorrected formation energy   -1.497 eV per atom
Spin magnetization   0.000 Bohr magnetons per cell

a = 6.5319 Å, b = 6.6290 Å, c = 10.6744 Å
α = 90.00°, β = 115.31°, γ = 90.00°
Closest atoms and distances in Å follow each position.
Space group P2/c (No. 13)
Asymmetric unit:
Cs: 0.1285 0.2352 0.1139  3 O 2.91-3.06
Sb: 0.4368 0.3216 0.8823  4 O 2.00-2.22
O: 0.2872 0.3400 0.6536  2 Sb 2.00-2.21
O: 0.3540 0.3908 0.3954  2 Sb 2.00-2.22

=====

Density functional theory data (PBE-GGA) for a relaxed structure of CsSb2O4.

Summary:
Uncorrected formation energy   -1.095 eV per atom
Spin magnetization   0.000 Bohr magnetons per cell

a = 7.0934 Å, b = 7.0934 Å, c = 11.1792 Å
α = 90.00°, β = 90.00°, γ = 90.00°
Closest atoms and distances in Å follow each position.
Space group I4_1/a (No. 88, origin choice 2)
Asymmetric unit:
Cs: 0.0000 0.2500 0.1250  4 O 2.95
Sb: 0.0000 0.0000 0.5000  4 O 2.05-2.06
O: 0.1941 0.4686 0.6347  2 Sb 2.05-2.06

=====

Density functional theory data (PBE-GGA) for a relaxed structure of Cs3SbO4.

Summary:
Uncorrected formation energy   -1.562 eV per atom
Spin magnetization   0.394 Bohr magnetons per cell

a = 13.1187 Å, b = 9.3809 Å, c = 6.9493 Å
α = 90.00°, β = 90.00°, γ = 90.00°
Closest atoms and distances in Å follow each position.
Space group Pnma (No. 62)
Asymmetric unit:
Cs: 0.0773 0.2500 0.1551  4 O 2.93-3.16
Cs: 0.1483 0.0083 0.7080  5 O 3.03-3.27
Sb: 0.1117 0.7500 0.2780  4 O 1.92
O: 0.0077 0.2500 0.5620  1 Sb 1.92
O: 0.1128 0.5823 0.1205  1 Sb 1.92
O: 0.2303 0.7500 0.4400  1 Sb 1.92

=====

Density functional theory data (PBE-GGA) for a relaxed structure of CsSbO2.

Summary:
Uncorrected formation energy   -1.342 eV per atom
Spin magnetization   0.000 Bohr magnetons per cell

a = 7.6066 Å, b = 3.4742 Å, c = 15.0435 Å
α = 90.00°, β = 90.00°, γ = 90.00°
Closest atoms and distances in Å follow each position.
Space group Pnma (No. 62)
Asymmetric unit:
Cs: 0.1429 0.2500 0.1529  7 O 3.04-3.41
Sb: 0.1741 0.7500 0.4006  3 O 1.90-2.11
O: 0.1727 0.2500 0.8009  1 Sb 1.90
O: 0.2283 0.7500 0.9629  2 Sb 2.11

=====

Density functional theory data (PBE-GGA) for a relaxed structure of Cs2SbO2.

Summary:
Uncorrected formation energy   -1.217 eV per atom
Spin magnetization   0.000 Bohr magnetons per cell

a = 8.7019 Å, b = 10.9420 Å, c = 7.4622 Å
α = 90.00°, β = 108.27°, γ = 90.00°
Closest atoms and distances in Å follow each position.
Space group P2_1/c (No. 14)
Asymmetric unit:
Cs: 0.0153 0.2006 0.1300  2 O 2.88-2.96
Cs: 0.4607 0.1714 0.9438  4 O 2.97-3.24
Sb: 0.3055 0.5202 0.9740  3 O 1.97-2.13
O: 0.2344 0.1455 0.5132  1 Sb 1.97
O: 0.4606 0.0231 0.3192  2 Sb 2.09-2.13

=====

Density functional theory data (PBE-GGA) for a relaxed structure of Cs3SbO4.

Summary:
Uncorrected formation energy   -1.536 eV per atom
Spin magnetization   0.200 Bohr magnetons per cell

a = 6.7860 Å, b = 9.2906 Å, c = 7.0983 Å
α = 90.00°, β = 90.00°, γ = 90.00°
Closest atoms and distances in Å follow each position.
Space group Imm2 (No. 44)
Asymmetric unit:
Cs: 0.0000 0.0000 0.0000  2 O 2.76
Cs: 0.0000 0.2373 0.5182  3 O 2.86-3.17
Sb: 0.0000 0.5000 0.0525  4 O 1.91-1.92
O: 0.0000 0.3285 0.9025  1 Sb 1.92
O: 0.2302 0.5000 0.2081  1 Sb 1.91

=====

Density functional theory data (PBE-GGA) for a relaxed structure of Cs2Sb3O8.

Summary:
Uncorrected formation energy   -1.479 eV per atom
Spin magnetization   0.000 Bohr magnetons per cell

a = 14.7515 Å, b = 6.5942 Å, c = 5.4581 Å
α = 90.00°, β = 108.26°, γ = 90.00°
Closest atoms and distances in Å follow each position.
Space group C2/m (No. 12)
Asymmetric unit:
Cs: 0.2225 0.0000 0.1765  4 O 2.95-3.14
Sb: 0.0000 0.2366 0.5000  6 O 2.04-2.26
Sb: 0.0000 0.5000 0.0000  6 O 2.02-2.09
O: 0.0745 0.2857 0.8793  2 Sb 2.02-2.04
O: 0.0780 0.5000 0.3919  3 Sb 2.09-2.26
O: 0.0867 0.0000 0.4788  2 Sb 2.04

=====

Density functional theory data (PBE-GGA) for a relaxed structure of Cs3Sb2O6.

Summary:
Uncorrected formation energy   -1.403 eV per atom
Spin magnetization   0.000 Bohr magnetons per cell

a = 4.0666 Å, b = 4.0666 Å, c = 27.7344 Å
α = 90.00°, β = 90.00°, γ = 90.00°
Closest atoms and distances in Å follow each position.
Space group I4/mmm (No. 139)
Asymmetric unit:
Cs: 0.0000 0.0000 0.0000  8 O 3.15
Cs: 0.0000 0.0000 0.1954  4 O 2.94
Sb: 0.0000 0.0000 0.3963  5 O 1.91-2.09
O: 0.0000 0.0000 0.3273  1 Sb 1.91
O: 0.0000 0.5000 0.0869  2 Sb 2.09

=====

Density functional theory data (PBE-GGA) for a relaxed structure of CsSbO2.

Summary:
Uncorrected formation energy   -0.754 eV per atom
Spin magnetization   0.000 Bohr magnetons per cell

a = 3.7203 Å, b = 3.7203 Å, c = 23.3440 Å
α = 90.00°, β = 90.00°, γ = 120.00°
Closest atoms and distances in Å follow each position.
Space group R-3m (No. 166, hexagonal axes)
Asymmetric unit:
Cs: 0.0000 0.0000 0.0000  6 O 2.91
Sb: 0.0000 0.0000 0.5000  2 O 1.92
O: 0.0000 0.0000 0.4177  1 Sb 1.92

=====

Density functional theory data (PBE-GGA) for a relaxed structure of Cs2SbO.

Summary:
Uncorrected formation energy   0.037 eV per atom
Spin magnetization   12.000 Bohr magnetons per cell

a = 8.4134 Å, b = 8.4134 Å, c = 8.4134 Å
α = 90.00°, β = 90.00°, γ = 90.00°
Closest atoms and distances in Å follow each position.
Space group Fm-3m (No. 225)
Asymmetric unit:
Cs: 0.2500 0.2500 0.2500  4 O 3.64, 4 Sb 3.64
Sb: 0.0000 0.0000 0.0000  8 Cs 3.64
O: 0.0000 0.0000 0.5000  8 Cs 3.64

=====

Density functional theory data (PBE-GGA) for a relaxed structure of CsSbO2.

Summary:
Uncorrected formation energy   -1.216 eV per atom
Spin magnetization   0.000 Bohr magnetons per cell

a = 6.5330 Å, b = 6.5330 Å, c = 9.4288 Å
α = 90.00°, β = 90.00°, γ = 90.00°
Closest atoms and distances in Å follow each position.
Space group I-42d (No. 122)
Asymmetric unit:
Cs: 0.0000 0.0000 0.0000  4 O 3.19
Sb: 0.0000 0.0000 0.5000  4 O 2.17
O: 0.1219 0.2500 0.6250  2 Sb 2.17

=====

Density functional theory data (PBE-GGA) for a relaxed structure of Cs2SbO.

Summary:
Uncorrected formation energy   -0.645 eV per atom
Spin magnetization   0.000 Bohr magnetons per cell

a = 12.4444 Å, b = 12.4444 Å, c = 4.4790 Å
α = 90.00°, β = 90.00°, γ = 90.00°
Closest atoms and distances in Å follow each position.
Space group I-42d (No. 122)
Asymmetric unit:
Cs: 0.0645 0.2500 0.1250  2 O 3.26, 2 Sb 3.63
Sb: 0.0000 0.0000 0.5000  2 O 2.24
O: 0.0000 0.0000 0.0000  2 Sb 2.24

=====

Density functional theory data (PBE-GGA) for a relaxed structure of Cs3SbO4.

Summary:
Uncorrected formation energy   -1.557 eV per atom
Spin magnetization   0.002 Bohr magnetons per cell

a = 9.1143 Å, b = 9.4069 Å, c = 9.9051 Å
α = 90.00°, β = 90.00°, γ = 90.00°
Closest atoms and distances in Å follow each position.
Space group Pnma (No. 62)
Asymmetric unit:
Cs: 0.0249 0.0145 0.2331  5 O 3.01-3.36
Cs: 0.2052 0.7500 0.5014  4 O 2.87-3.15
Sb: 0.2254 0.7500 0.9848  4 O 1.91-1.93
O: 0.0229 0.7500 0.0389  1 Sb 1.92
O: 0.1817 0.0801 0.5483  1 Sb 1.91
O: 0.2311 0.7500 0.7905  1 Sb 1.93

=====

Density functional theory data (PBE-GGA) for a relaxed structure of CsSc2SbO.

Summary:
Uncorrected formation energy   -0.409 eV per atom
Spin magnetization   0.000 Bohr magnetons per cell

a = 4.6590 Å, b = 4.6590 Å, c = 5.9464 Å
α = 90.00°, β = 90.00°, γ = 90.00°
Closest atoms and distances in Å follow each position.
Space group P4/mmm (No. 123)
Asymmetric unit:
Cs: 0.0000 0.0000 0.0000  4 Sb 3.29
Sc: 0.0000 0.5000 0.5000  2 O 2.33
Sb: 0.5000 0.5000 0.0000  2 O 2.97, 4 Cs 3.29
O: 0.5000 0.5000 0.5000  4 Sc 2.33

=====

Density functional theory data (PBE-GGA) for a relaxed structure of Cs2ScSb2O6.

Summary:
Uncorrected formation energy   -1.775 eV per atom
Spin magnetization   0.000 Bohr magnetons per cell

a = 6.2118 Å, b = 6.2118 Å, c = 22.4232 Å
α = 90.00°, β = 90.00°, γ = 120.00°
Closest atoms and distances in Å follow each position.
Space group R-3m (No. 166, hexagonal axes)
Asymmetric unit:
Cs: 0.0000 0.0000 0.2447  9 O 3.16-3.42
Sc: 0.0000 0.0000 0.5000  6 O 2.15
Sb: 0.0000 0.0000 0.0798  3 O 1.94
O: 0.0025 0.5012 0.7811  1 Sb 1.94, 1 Sc 2.15

=====

Density functional theory data (PBE-GGA) for a relaxed structure of Cs2Sc2Sb2O.

Summary:
Uncorrected formation energy   -1.311 eV per atom
Spin magnetization   0.000 Bohr magnetons per cell

a = 4.5332 Å, b = 4.5332 Å, c = 21.1377 Å
α = 90.00°, β = 90.00°, γ = 90.00°
Closest atoms and distances in Å follow each position.
Space group I4/mmm (No. 139)
Asymmetric unit:
Cs: 0.0000 0.0000 0.1777  4 Sb 3.66, 1 O 3.76
Sc: 0.0000 0.5000 0.0000  2 O 2.27
Sb: 0.0000 0.0000 0.4057  4 Sc 3.02
O: 0.0000 0.0000 0.0000  4 Sc 2.27